1.
Here is a geometry-optimized Li4CrFe3O8 structure from the Alexandria database. Energies are from PBE with a Hubbard U.

a b c (Å): 5.0772 7.6823 7.6835
angles (deg): 81.72 83.77 71.08
Element x y z (fractional)
Li1 0.0014 0.0614 0.3140
Li2 0.0015 0.3118 0.5616
Li3 0.0032 0.8103 0.0649
Li4 0.0045 0.5607 0.8123
Li5 0.9955 0.4393 0.1877
Li6 0.9968 0.1897 0.9351
Li7 0.9985 0.6882 0.4384
Li8 0.9986 0.9386 0.6860
Cr1 0.5001 0.1263 0.1263
Cr2 0.4999 0.8737 0.8737
Fe1 0.5000 0.0000 0.5000
Fe2 0.4998 0.2517 0.7482
Fe3 0.5000 0.3757 0.3757
Fe4 0.5000 0.5000 0.0000
Fe5 0.5000 0.6243 0.6243
Fe6 0.5002 0.7483 0.2518
O1 0.2734 0.9615 0.0953
O2 0.2763 0.0908 0.7149
O3 0.2758 0.2145 0.3460
O4 0.2755 0.7100 0.8417
O5 0.2767 0.3408 0.9649
O6 0.2802 0.5870 0.2181
O7 0.2801 0.8372 0.4680
O8 0.2806 0.4630 0.5917
O9 0.7194 0.5370 0.4083
O10 0.7199 0.1628 0.5320
O11 0.7198 0.4130 0.7819
O12 0.7233 0.6592 0.0351
O13 0.7245 0.2900 0.1583
O14 0.7242 0.7855 0.6540
O15 0.7237 0.9092 0.2851
O16 0.7266 0.0385 0.9047

Results
Fermi-level density of states: 0.0 states/eV per cell
Offset from the most stable computed form: 0.258 eV per atom

2.
Here is a geometry-optimized Na2VSbO6 structure from the Alexandria database. Energies are from PBE with a Hubbard U.

a b c (Å): 5.4740 5.4740 5.4740
angles (deg): 60.00 60.00 60.00
Element x y z (fractional)
Na1 0.2500 0.2500 0.2500
Na2 0.7500 0.7500 0.7500
V1 0.0000 0.0000 0.0000
Sb1 0.5000 0.5000 0.5000
O1 0.2443 0.2443 0.7557
O2 0.2443 0.7557 0.2443
O3 0.2443 0.7557 0.7557
O4 0.7557 0.2443 0.2443
O5 0.7557 0.2443 0.7557
O6 0.7557 0.7557 0.2443

Results
VASP energy: -6.03 eV/atom

Number 1: size of the total moment 11.789 μB per cell. Number 2: size of the total moment 0.000 μB per cell.